First-principles (GGA-PBEsol) data for a relaxed structure of CrIn2Tc, as listed in Alexandria.

Geometry as CIF:
```
data_CrIn2Tc
_symmetry_space_group_name_H-M 'P 1'
_symmetry_Int_Tables_number 1
_symmetry_space_group_name_Hall 'P 1'
_cell_length_a 3.997
_cell_length_b 3.997
_cell_length_c 5.103
_cell_angle_alpha 113.06
_cell_angle_beta 113.06
_cell_angle_gamma 90.00
loop_
_atom_site_label
_atom_site_type_symbol
_atom_site_fract_x
_atom_site_fract_y
_atom_site_fract_z
Tc1 Tc 0.500 0.500 0.000
In1 In 0.750 0.250 0.500
Cr1 Cr 0.250 0.750 0.500
In2 In 0.000 0.000 0.000
```

Properties
total magnetization = 2.93 μB/f.u.
calculated volume = 16.971 A^3/atom
theoretical density = 9286 kg/m³
energy of formation = 446 meV per atom
distance to the lowest polymorph of the same formula = 84.2 meV per atom